First-principles (PBE with a Hubbard U) data for Ca2MoClO4 after structural relaxation, as listed in Alexandria.

Cell: 3.284 5.287 8.207 Å, 76.84 78.46 71.90°
Last column: magnetic moment on the atom in μB.
Fractional coordinates of all 8 atoms:
Ca 0.819 0.594 0.768  0.00
Ca 0.181 0.406 0.232  0.00
Mo 0.000 0.000 0.000  1.01
Cl 0.500 0.500 0.500  0.00
O 0.157 0.900 0.786  -0.04
O 0.398 0.269 0.935  0.03
O 0.843 0.100 0.214  -0.04
O 0.602 0.731 0.065  0.03

Computed properties:
* symmetry: C2/m, No. 12
* energy: -6.40 eV/atom
* DOS(E_F): 0.000 states/eV/f.u.
* density: 3.5 Mg/m³